1.
La2Tb5Pr | PBE | optimized geometry

Computed properties:
- SG: Pbam, No. 55
- Density of states at the Fermi level: 12.8 states/eV/f.u.
- Distance to the lowest polymorph of the same formula: 0.0000 eV/atom
- E_form: 0.024 eV/atom

Cell lengths 7.2365, 14.4857, 5.1568 Å; angles 90.00, 90.00, 90.00 degrees
Last column: nearest neighbours and their distance in Å.
Sites, in units of the cell vectors:
La (0.2461, 0.1262, 0.0000)  10 Tb 3.60-3.64, 2 Pr 3.66
La (0.2539, 0.6262, 0.0000)  10 Tb 3.60-3.64, 2 Pr 3.66
La (0.7461, 0.3738, 0.0000)  10 Tb 3.60-3.64, 2 Pr 3.66
La (0.7539, 0.8738, 0.0000)  10 Tb 3.60-3.64, 2 Pr 3.66
Tb (0.0000, 0.0000, 0.5000)  6 Tb 3.61-3.65, 2 Pr 3.62, 4 La 3.63
Tb (0.0044, 0.7511, 0.5000)  7 Tb 3.61-3.64, 4 La 3.62-3.63, 1 Pr 3.64
Tb (0.2467, 0.3749, 0.0000)  4 La 3.60-3.64, 6 Tb 3.62-3.65, 2 Pr 3.62
Tb (0.2533, 0.8749, 0.0000)  4 La 3.60-3.64, 6 Tb 3.62-3.65, 2 Pr 3.62
Tb (0.4956, 0.2511, 0.5000)  7 Tb 3.61-3.64, 4 La 3.62-3.63, 1 Pr 3.64
Tb (0.5000, 0.5000, 0.5000)  6 Tb 3.61-3.65, 2 Pr 3.62, 4 La 3.63
Tb (0.5044, 0.7489, 0.5000)  7 Tb 3.61-3.64, 4 La 3.62-3.63, 1 Pr 3.64
Tb (0.7467, 0.1251, 0.0000)  4 La 3.60-3.64, 6 Tb 3.62-3.65, 2 Pr 3.62
Tb (0.7533, 0.6251, 0.0000)  4 La 3.60-3.64, 6 Tb 3.62-3.65, 2 Pr 3.62
Tb (0.9956, 0.2489, 0.5000)  7 Tb 3.61-3.64, 4 La 3.62-3.63, 1 Pr 3.64
Pr (0.0000, 0.5000, 0.5000)  8 Tb 3.62-3.64, 4 La 3.66
Pr (0.5000, 0.0000, 0.5000)  8 Tb 3.62-3.64, 4 La 3.66

2.
Sr3HfRh | PBE | optimized geometry

Computed properties:
- SG: Pm-3m, No. 221
- Density of states at the Fermi level: 9.7 states/eV/f.u.
- Distance to the lowest polymorph of the same formula: 0.9183 eV/atom
- E_form: 1.459 eV/atom

Cell lengths 6.0526, 6.0526, 6.0526 Å; angles 90.00, 90.00, 90.00 degrees
Last column: nearest neighbours and their distance in Å.
Sites, in units of the cell vectors:
Sr (0.0000, 0.0000, 0.5000)  2 Hf 3.03
Sr (0.0000, 0.5000, 0.0000)  2 Hf 3.03
Sr (0.5000, 0.0000, 0.0000)  2 Hf 3.03
Hf (0.0000, 0.0000, 0.0000)  6 Sr 3.03
Rh (0.5000, 0.5000, 0.5000)  12 Sr 4.28

3.
Co2BrCl | PBE | optimized geometry

Computed properties:
- SG: P4mm, No. 99
- Density of states at the Fermi level: 7.1 states/eV/f.u.
- Energy relative to the elements, uncorrected: 148 meV per atom

Cell lengths 3.3324, 3.3324, 7.1298 Å; angles 90.00, 90.00, 90.00 degrees
Last column: nearest neighbours and their distance in Å.
Sites, in units of the cell vectors:
Co (0.0000, 0.0000, 0.0000)  1 Br 2.37, 4 Co 2.55
Co (0.5000, 0.5000, 0.1367)  1 Cl 2.24
Br (0.0000, 0.0000, 0.3330)  1 Co 2.37
Cl (0.5000, 0.5000, 0.8224)  1 Co 2.24

4.
AgP2 | PBE | optimized geometry

Computed properties:
- SG: I4_1/amd, No. 141
- Density of states at the Fermi level: 0.6 states/eV/f.u.
- Distance to the lowest polymorph of the same formula: 0.2976 eV/atom
- E_form: 0.297 eV/atom

Cell lengths 20.9692, 20.9692, 20.9692 Å; angles 171.30, 171.30, 12.32 degrees
Last column: nearest neighbours and their distance in Å.
Sites, in units of the cell vectors:
Ag (0.3103, 0.5603, 0.7500)  6 P 2.76-2.85
Ag (0.4397, 0.6897, 0.7500)  6 P 2.76-2.85
Ag (0.5603, 0.3103, 0.2500)  6 P 2.76-2.85
Ag (0.6897, 0.4397, 0.2500)  6 P 2.76-2.85
P (0.0183, 0.7683, 0.2500)  2 P 2.20
P (0.1145, 0.3645, 0.7500)  4 P 2.41
P (0.2317, 0.9817, 0.2500)  2 P 2.20
P (0.3645, 0.1145, 0.2500)  4 P 2.41
P (0.6355, 0.8855, 0.7500)  4 P 2.41
P (0.7683, 0.0183, 0.7500)  2 P 2.20
P (0.8855, 0.6355, 0.2500)  4 P 2.41
P (0.9817, 0.2317, 0.7500)  2 P 2.20

5.
Pr4Nd4Y | PBE | optimized geometry

Computed properties:
- SG: I4/mmm, No. 139
- Density of states at the Fermi level: 14.9 states/eV/f.u.
- E_form: 0.013 eV/atom

Cell lengths 8.2452, 8.2452, 8.2452 Å; angles 95.75, 95.75, 143.11 degrees
Last column: nearest neighbours and their distance in Å.
Sites, in units of the cell vectors:
Pr (0.0000, 0.3322, 0.3322)  1 Y 3.67, 6 Nd 3.68-3.69, 5 Pr 3.70-3.71
Pr (0.0000, 0.6678, 0.6678)  1 Y 3.67, 6 Nd 3.68-3.69, 5 Pr 3.70-3.71
Pr (0.3322, 0.0000, 0.3322)  1 Y 3.67, 6 Nd 3.68-3.69, 5 Pr 3.70-3.71
Pr (0.6678, 0.0000, 0.6678)  1 Y 3.67, 6 Nd 3.68-3.69, 5 Pr 3.70-3.71
Nd (0.3339, 0.3339, 0.6678)  4 Nd 3.67-3.70, 6 Pr 3.68-3.69, 2 Y 3.68
Nd (0.3339, 0.6661, 0.0000)  4 Nd 3.67-3.70, 6 Pr 3.68-3.69, 2 Y 3.68
Nd (0.6661, 0.3339, 0.0000)  4 Nd 3.67-3.70, 6 Pr 3.68-3.69, 2 Y 3.68
Nd (0.6661, 0.6661, 0.3322)  4 Nd 3.67-3.70, 6 Pr 3.68-3.69, 2 Y 3.68
Y (0.0000, 0.0000, 0.0000)  4 Pr 3.67, 8 Nd 3.68

6.
NbRe2Os | PBE | optimized geometry

Computed properties:
- SG: Fm-3m, No. 225
- Density of states at the Fermi level: 5.7 states/eV/f.u.
- Distance to the lowest polymorph of the same formula: 0.0000 eV/atom
- E_form: 0.226 eV/atom

Cell lengths 4.4563, 4.4563, 4.4563 Å; angles 60.00, 60.00, 60.00 degrees
Last column: nearest neighbours and their distance in Å.
Sites, in units of the cell vectors:
Nb (0.0000, 0.0000, 0.0000)  8 Re 2.73
Re (0.2500, 0.2500, 0.2500)  4 Os 2.73, 4 Nb 2.73
Re (0.7500, 0.7500, 0.7500)  4 Os 2.73, 4 Nb 2.73
Os (0.5000, 0.5000, 0.5000)  8 Re 2.73

7.
Hg2Pd2Pb | PBE | optimized geometry

Computed properties:
- SG: I4/mmm, No. 139
- Density of states at the Fermi level: 2.5 states/eV/f.u.
- Distance to the lowest polymorph of the same formula: 0.1047 eV/atom
- E_form: -0.016 eV/atom

Cell lengths 7.2744, 7.2744, 7.2744 Å; angles 147.52, 147.52, 46.59 degrees
Last column: nearest neighbours and their distance in Å.
Sites, in units of the cell vectors:
Hg (0.2500, 0.7500, 0.5000)  4 Pd 2.86, 4 Hg 2.88
Hg (0.7500, 0.2500, 0.5000)  4 Pd 2.86, 4 Hg 2.88
Pd (0.0999, 0.0999, 0.0000)  1 Pd 2.67, 4 Hg 2.86
Pd (0.9001, 0.9001, 0.0000)  1 Pd 2.67, 4 Hg 2.86
Pb (0.5000, 0.5000, 0.0000)  8 Pd 3.17

8.
CaY2Re | PBE | optimized geometry

Computed properties:
- SG: Fm-3m, No. 225
- Density of states at the Fermi level: 4.5 states/eV/f.u.
- Distance to the lowest polymorph of the same formula: 0.1988 eV/atom
- E_form: 0.338 eV/atom

Cell lengths 5.1677, 5.1677, 5.1677 Å; angles 60.00, 60.00, 60.00 degrees
Last column: nearest neighbours and their distance in Å.
Sites, in units of the cell vectors:
Ca (0.0000, 0.0000, 0.0000)  8 Y 3.16
Y (0.2500, 0.2500, 0.2500)  4 Re 3.16, 4 Ca 3.16
Y (0.7500, 0.7500, 0.7500)  4 Ca 3.16, 4 Re 3.16
Re (0.5000, 0.5000, 0.5000)  8 Y 3.16

9.
HoAgAu2 | PBE | optimized geometry

Computed properties:
- SG: P4/mmm, No. 123
- Density of states at the Fermi level: 1.7 states/eV/f.u.
- E_form: -0.469 eV/atom

Cell lengths 4.5574, 4.5574, 3.9692 Å; angles 90.00, 90.00, 90.00 degrees
Last column: nearest neighbours and their distance in Å.
Sites, in units of the cell vectors:
Ho (0.0000, 0.0000, 0.0000)  8 Au 3.02, 4 Ag 3.22
Ag (0.5000, 0.5000, 0.0000)  8 Au 3.02, 4 Ho 3.22
Au (0.0000, 0.5000, 0.5000)  4 Ag 3.02, 4 Ho 3.02, 4 Au 3.22
Au (0.5000, 0.0000, 0.5000)  4 Ag 3.02, 4 Ho 3.02, 4 Au 3.22

10.
Li2InOs | PBE | optimized geometry

Computed properties:
- SG: Pmmm, No. 47
- Density of states at the Fermi level: 2.2 states/eV/f.u.
- E_form: 0.168 eV/atom

Cell lengths 3.0716, 4.4945, 4.6194 Å; angles 90.00, 90.00, 90.00 degrees
Last column: nearest neighbours and their distance in Å.
Sites, in units of the cell vectors:
Li (0.0000, 0.0000, 0.0000)  4 Li 2.72, 4 Os 2.77
Li (0.5000, 0.5000, 0.0000)  4 Li 2.72, 4 In 2.77
In (0.0000, 0.5000, 0.5000)  4 Os 2.72, 4 Li 2.77
Os (0.5000, 0.0000, 0.5000)  4 In 2.72, 4 Li 2.77

11.
YCoOs | PBE | optimized geometry

Computed properties:
- SG: I4mm, No. 107
- Density of states at the Fermi level: 3.4 states/eV/f.u.
- Distance to the lowest polymorph of the same formula: 0.4550 eV/atom
- E_form: 0.204 eV/atom

Cell lengths 6.0954, 6.0954, 6.0954 Å; angles 151.71, 151.71, 40.44 degrees
Last column: nearest neighbours and their distance in Å.
Sites, in units of the cell vectors:
Y (0.0000, 0.0000, 0.0000)  4 Y 2.98, 4 Co 3.05, 4 Os 3.06
Co (0.3078, 0.3078, 0.0000)  4 Os 2.48
Os (0.6938, 0.6938, 0.0000)  4 Co 2.48

12.
ScIn2Cu | PBE | optimized geometry

Computed properties:
- SG: P4mm, No. 99
- Density of states at the Fermi level: 2.3 states/eV/f.u.
- E_form: -0.127 eV/atom

Cell lengths 3.3231, 3.3231, 7.5917 Å; angles 90.00, 90.00, 90.00 degrees
Last column: nearest neighbours and their distance in Å.
Sites, in units of the cell vectors:
Sc (0.0000, 0.0000, 0.0000)  4 Cu 2.82
In (0.0000, 0.0000, 0.4187)  4 Cu 2.86, 1 Sc 3.18
In (0.5000, 0.5000, 0.7215)  4 Sc 3.16, 8 In 3.29-3.32
Cu (0.5000, 0.5000, 0.2050)  4 Sc 2.82, 4 In 2.86